AgBr3 | PBE-GGA | optimized geometry

The structure in extended XYZ format:
```
4
Lattice="-3.838 -2.126 1.855 1.776 -4.254 -1.200 2.192 -0.275 4.220" Properties=species:S:1:pos:R:3 pbc="T T T"
Br 1.984 -2.265 1.510
Ag 0.000 0.000 0.000
Br -1.031 -3.190 0.328
Br -0.823 -1.200 3.038
```


Ac12Ge5Sb3 | PBE-GGA | optimized geometry

The structure in extended XYZ format:
```
80
Lattice="16.325 0.000 0.000 -5.442 15.391 0.000 -5.442 -7.696 13.329" Properties=species:S:1:pos:R:3 pbc="T T T"
Ac 5.308 2.528 7.812
Ac 8.296 4.181 4.948
Ac 3.417 1.860 4.359
Ac -4.745 6.838 7.234
Ac -3.417 8.698 10.455
Ac 6.138 6.693 10.455
Ac -1.544 5.368 11.613
Ge 9.523 -0.962 8.331
Ac 4.745 -1.860 4.359
Ac -5.308 6.042 12.760
Ac 6.056 -1.993 12.171
Ge 2.721 3.848 6.665
Ge 6.802 3.848 9.997
Ac 6.986 2.328 1.716
Ac -2.854 3.514 8.381
Ac 12.060 3.525 3.790
Ac 6.056 1.999 12.182
Ac -0.696 1.002 2.874
Ge -2.721 -3.848 6.665
Ac 0.696 9.555 8.970
Ac 2.854 -2.528 7.812
Sb 1.360 7.696 3.332
Ac 1.544 1.197 7.823
Ge -1.360 3.848 3.332
Ge 4.081 2.886 1.666
Sb -6.802 7.696 9.997
Ac -1.544 -4.170 9.539
Sb -4.081 2.886 11.663
Ac 3.898 6.498 5.507
Ge -4.081 8.658 4.998
Ac -6.619 4.170 9.539
Ac -2.107 -0.006 11.024
Ac 2.025 5.836 8.970
Ac -5.575 11.210 4.948
Ac 2.587 10.224 5.518
Sb 4.081 0.000 9.997
Ac 10.750 1.653 0.569
Sb -4.081 -2.886 11.663
Ge 1.360 -3.848 9.997
Ac 7.466 8.553 7.234
Sb -1.360 6.734 8.331
Ge 1.360 4.810 11.663
Ac -6.056 0.006 11.024
Ac 9.706 -5.368 11.613
Ac 0.134 5.167 5.518
Ge 4.081 11.543 3.332
Ac 8.296 13.738 0.569
Ac 11.498 7.689 2.305
Sb 1.360 -0.962 4.998
Ac -2.025 -0.857 6.095
Ac 11.017 -3.514 8.381
Ac -0.614 5.696 1.147
Sb 12.244 0.000 3.332
Ge -1.360 0.962 8.331
Ge 6.802 -4.810 11.663
Sb 4.081 8.658 8.331
Ac 3.335 9.695 1.147
Ge 5.442 7.696 0.000
Ac -0.614 9.689 1.158
Ac 6.619 -1.197 7.823
Ac 6.985 11.866 3.790
Ac -4.265 13.063 1.716
Ac 3.335 5.703 1.158
Ac 2.107 1.993 12.171
Ac -2.854 -6.042 12.760
Ac 7.548 7.702 2.305
Ac 8.859 -1.002 2.874
Sb 9.523 10.582 1.666
Sb 9.523 4.810 1.666
Ge -1.360 12.505 1.666
Ge 8.162 0.000 0.000
Ac 2.107 -1.999 12.182
Ge 5.442 -3.848 6.665
Ge -5.442 3.848 6.665
Ge 0.000 0.000 0.000
Ge 6.802 6.734 4.998
Ge -2.721 7.696 0.000
Sb 6.802 0.962 4.998
Ac -1.177 8.893 5.507
Ac 10.187 0.857 6.095
```


no.,total DFT energy (no corrections) (eV per cell),formation energy without anion corrections (eV per formula unit)
1,-6.28,1.591
2,-375.28,-9.065